VASP calculation (PBE) on a relaxed Zn2Cu6Au crystal.

a b c (Å): 2.619 7.538 7.538
angles (deg): 57.15 76.97 76.97
Fractional positions:
Zn 0.196 0.347 0.347
Zn 0.804 0.653 0.653
Cu 0.320 0.997 0.350
Cu 0.680 0.003 0.650
Cu 0.680 0.650 0.003
Cu 0.500 0.332 0.668
Cu 0.500 0.668 0.332
Cu 0.320 0.350 0.997
Au 0.000 0.000 0.000

Output
Total magnetic moment ... 0.00 μB/atom
Energy above the lowest structure with this stoichiometry ... 7.9 kJ/mol of atoms
Formation energy from the elements ... 0.01 eV per atom
Crystal system ... monoclinic
SG ... C2/m
Calculated density ... 9.7 Mg/m³